Version w
ScCdCoPb: optimized geometry, PBE.

```
data_ScCdCoPb
_cell_length_a 4.776
_cell_length_b 4.776
_cell_length_c 4.776
_cell_angle_alpha 60.00
_cell_angle_beta 60.00
_cell_angle_gamma 60.00
_space_group_name_H-M_alt 'P 1'
_space_group_IT_number 1
loop_
_space_group_symop_operation_xyz
'x,y,z'
loop_
_atom_site_label
_atom_site_type_symbol
_atom_site_fract_x
_atom_site_fract_y
_atom_site_fract_z
Cd1 Cd 0.250 0.250 0.250
Pb1 Pb 0.000 0.000 0.000
Co1 Co 0.750 0.750 0.750
Sc1 Sc 0.500 0.500 0.500
```

Calculated values
Symmetry   No. 216
Spin magnetization   0.26 μB per cell

=====

Version x
ScCdCoPb: optimized geometry, PBE.

```
data_ScCdCoPb
_cell_length_a 4.724
_cell_length_b 4.724
_cell_length_c 4.724
_cell_angle_alpha 60.00
_cell_angle_beta 60.00
_cell_angle_gamma 60.00
_space_group_name_H-M_alt 'P 1'
_space_group_IT_number 1
loop_
_space_group_symop_operation_xyz
'x,y,z'
loop_
_atom_site_label
_atom_site_type_symbol
_atom_site_fract_x
_atom_site_fract_y
_atom_site_fract_z
Cd1 Cd 0.500 0.500 0.500
Sc1 Sc 0.250 0.250 0.250
Pb1 Pb 0.000 0.000 0.000
Co1 Co 0.750 0.750 0.750
```

Calculated values
Symmetry   No. 216
Spin magnetization   0.30 μB per cell

=====

Which of them is most stable? Easy: version x.

=====

Version w
CdCoPbSe3: optimized geometry, PBE.

```
data_CdCoPbSe3
_cell_length_a 7.102
_cell_length_b 7.102
_cell_length_c 10.724
_cell_angle_alpha 90.00
_cell_angle_beta 90.00
_cell_angle_gamma 31.29
_space_group_name_H-M_alt 'P 1'
_space_group_IT_number 1
loop_
_space_group_symop_operation_xyz
'x,y,z'
loop_
_atom_site_label
_atom_site_type_symbol
_atom_site_fract_x
_atom_site_fract_y
_atom_site_fract_z
Cd1 Cd 0.964 0.964 0.750
Cd2 Cd 0.036 0.036 0.250
Co1 Co 0.500 0.500 0.000
Co2 Co 0.500 0.500 0.500
Se1 Se 0.116 0.116 0.469
Se2 Se 0.116 0.116 0.031
Se3 Se 0.600 0.600 0.750
Se4 Se 0.884 0.884 0.531
Se5 Se 0.884 0.884 0.969
Se6 Se 0.400 0.400 0.250
Pb1 Pb 0.259 0.259 0.750
Pb2 Pb 0.741 0.741 0.250
```

Calculated values
Symmetry   No. 63
Spin magnetization   2.66 μB per cell

=====

Version x
CdCoPbSe3: optimized geometry, PBE.

```
data_CdCoPbSe3
_cell_length_a 7.036
_cell_length_b 7.036
_cell_length_c 10.706
_cell_angle_alpha 90.00
_cell_angle_beta 90.00
_cell_angle_gamma 33.13
_space_group_name_H-M_alt 'P 1'
_space_group_IT_number 1
loop_
_space_group_symop_operation_xyz
'x,y,z'
loop_
_atom_site_label
_atom_site_type_symbol
_atom_site_fract_x
_atom_site_fract_y
_atom_site_fract_z
Co1 Co 0.467 0.467 0.250
Co2 Co 0.533 0.533 0.750
Se1 Se 0.360 0.360 0.429
Se2 Se 0.640 0.640 0.571
Se3 Se 0.640 0.640 0.929
Se4 Se 0.928 0.928 0.750
Se5 Se 0.072 0.072 0.250
Se6 Se 0.360 0.360 0.071
Cd1 Cd 0.000 0.000 0.500
Cd2 Cd 0.000 0.000 0.000
Pb1 Pb 0.244 0.244 0.750
Pb2 Pb 0.756 0.756 0.250
```

Calculated values
Symmetry   No. 63
Spin magnetization   6.00 μB per cell

=====

Which of them is most stable? Easy: version x.

=====

Version w
CdCoTe3Pb: optimized geometry, PBE.

```
data_CdCoTe3Pb
_cell_length_a 3.743
_cell_length_b 8.096
_cell_length_c 11.311
_cell_angle_alpha 90.00
_cell_angle_beta 90.00
_cell_angle_gamma 76.64
_space_group_name_H-M_alt 'P 1'
_space_group_IT_number 1
loop_
_space_group_symop_operation_xyz
'x,y,z'
loop_
_atom_site_label
_atom_site_type_symbol
_atom_site_fract_x
_atom_site_fract_y
_atom_site_fract_z
Te1 Te 0.608 0.784 0.502
Te2 Te 0.008 0.985 0.250
Te3 Te 0.608 0.784 0.998
Te4 Te 0.392 0.216 0.498
Te5 Te 0.992 0.015 0.750
Te6 Te 0.392 0.216 0.002
Co1 Co 0.000 0.000 0.000
Co2 Co 0.000 0.000 0.500
Pb1 Pb 0.687 0.627 0.250
Pb2 Pb 0.313 0.373 0.750
Cd1 Cd 0.653 0.695 0.750
Cd2 Cd 0.347 0.305 0.250
```

Calculated values
Symmetry   No. 63
Spin magnetization   0.00 μB per cell

=====

Version x
CdCoTe3Pb: optimized geometry, PBE.

```
data_CdCoTe3Pb
_cell_length_a 6.994
_cell_length_b 6.994
_cell_length_c 12.339
_cell_angle_alpha 90.00
_cell_angle_beta 90.00
_cell_angle_gamma 145.66
_space_group_name_H-M_alt 'P 1'
_space_group_IT_number 1
loop_
_space_group_symop_operation_xyz
'x,y,z'
loop_
_atom_site_label
_atom_site_type_symbol
_atom_site_fract_x
_atom_site_fract_y
_atom_site_fract_z
Te1 Te 0.036 0.964 0.250
Te2 Te 0.352 0.648 0.063
Te3 Te 0.964 0.036 0.750
Te4 Te 0.648 0.352 0.563
Te5 Te 0.648 0.352 0.937
Te6 Te 0.352 0.648 0.437
Pb1 Pb 0.772 0.228 0.250
Pb2 Pb 0.228 0.772 0.750
Co1 Co 0.570 0.430 0.750
Co2 Co 0.430 0.570 0.250
Cd1 Cd 0.000 0.000 0.000
Cd2 Cd 0.000 0.000 0.500
```

Calculated values
Symmetry   No. 63
Spin magnetization   0.03 μB per cell

=====

Which of them is most stable? Easy: version x.

=====

Version w
YCdCoPb: optimized geometry, PBE.

```
data_YCdCoPb
_cell_length_a 4.926
_cell_length_b 4.926
_cell_length_c 4.926
_cell_angle_alpha 60.00
_cell_angle_beta 60.00
_cell_angle_gamma 60.00
_space_group_name_H-M_alt 'P 1'
_space_group_IT_number 1
loop_
_space_group_symop_operation_xyz
'x,y,z'
loop_
_atom_site_label
_atom_site_type_symbol
_atom_site_fract_x
_atom_site_fract_y
_atom_site_fract_z
Co1 Co 0.750 0.750 0.750
Pb1 Pb 0.000 0.000 0.000
Cd1 Cd 0.250 0.250 0.250
Y1 Y 0.500 0.500 0.500
```

Calculated values
Symmetry   No. 216
Spin magnetization   0.66 μB per cell

=====

Version x
YCdCoPb: optimized geometry, PBE.

```
data_YCdCoPb
_cell_length_a 4.918
_cell_length_b 4.918
_cell_length_c 4.918
_cell_angle_alpha 60.00
_cell_angle_beta 60.00
_cell_angle_gamma 60.00
_space_group_name_H-M_alt 'P 1'
_space_group_IT_number 1
loop_
_space_group_symop_operation_xyz
'x,y,z'
loop_
_atom_site_label
_atom_site_type_symbol
_atom_site_fract_x
_atom_site_fract_y
_atom_site_fract_z
Co1 Co 0.750 0.750 0.750
Cd1 Cd 0.500 0.500 0.500
Pb1 Pb 0.000 0.000 0.000
Y1 Y 0.250 0.250 0.250
```

Calculated values
Symmetry   No. 216
Spin magnetization   0.41 μB per cell

=====

Which of them is most stable? Easy: version x.

=====

Version w
ZrCdCoPb: optimized geometry, PBE.

```
data_ZrCdCoPb
_cell_length_a 4.788
_cell_length_b 4.788
_cell_length_c 4.788
_cell_angle_alpha 60.00
_cell_angle_beta 60.00
_cell_angle_gamma 60.00
_space_group_name_H-M_alt 'P 1'
_space_group_IT_number 1
loop_
_space_group_symop_operation_xyz
'x,y,z'
loop_
_atom_site_label
_atom_site_type_symbol
_atom_site_fract_x
_atom_site_fract_y
_atom_site_fract_z
Co1 Co 0.750 0.750 0.750
Zr1 Zr 0.500 0.500 0.500
Cd1 Cd 0.250 0.250 0.250
Pb1 Pb 0.000 0.000 0.000
```

Calculated values
Symmetry   No. 216
Spin magnetization   0.16 μB per cell

=====

Version x
ZrCdCoPb: optimized geometry, PBE.

```
data_ZrCdCoPb
_cell_length_a 4.824
_cell_length_b 4.824
_cell_length_c 4.824
_cell_angle_alpha 60.00
_cell_angle_beta 60.00
_cell_angle_gamma 60.00
_space_group_name_H-M_alt 'P 1'
_space_group_IT_number 1
loop_
_space_group_symop_operation_xyz
'x,y,z'
loop_
_atom_site_label
_atom_site_type_symbol
_atom_site_fract_x
_atom_site_fract_y
_atom_site_fract_z
Cd1 Cd 0.500 0.500 0.500
Pb1 Pb 0.000 0.000 0.000
Co1 Co 0.750 0.750 0.750
Zr1 Zr 0.250 0.250 0.250
```

Calculated values
Symmetry   No. 216
Spin magnetization   1.06 μB per cell

=====

Which of them is most stable? Easy: version w.

=====

Version w
ZrCdCoSb: optimized geometry, PBE.

```
data_ZrCdCoSb
_cell_length_a 4.766
_cell_length_b 4.766
_cell_length_c 4.766
_cell_angle_alpha 60.00
_cell_angle_beta 60.00
_cell_angle_gamma 60.00
_space_group_name_H-M_alt 'P 1'
_space_group_IT_number 1
loop_
_space_group_symop_operation_xyz
'x,y,z'
loop_
_atom_site_label
_atom_site_type_symbol
_atom_site_fract_x
_atom_site_fract_y
_atom_site_fract_z
Sb1 Sb 0.000 0.000 0.000
Zr1 Zr 0.500 0.500 0.500
Cd1 Cd 0.250 0.250 0.250
Co1 Co 0.750 0.750 0.750
```

Calculated values
Symmetry   No. 216
Spin magnetization   0.00 μB per cell

=====

Version x
ZrCdCoSb: optimized geometry, PBE.

```
data_ZrCdCoSb
_cell_length_a 4.743
_cell_length_b 4.743
_cell_length_c 4.743
_cell_angle_alpha 60.00
_cell_angle_beta 60.00
_cell_angle_gamma 60.00
_space_group_name_H-M_alt 'P 1'
_space_group_IT_number 1
loop_
_space_group_symop_operation_xyz
'x,y,z'
loop_
_atom_site_label
_atom_site_type_symbol
_atom_site_fract_x
_atom_site_fract_y
_atom_site_fract_z
Sb1 Sb 0.000 0.000 0.000
Zr1 Zr 0.250 0.250 0.250
Cd1 Cd 0.500 0.500 0.500
Co1 Co 0.750 0.750 0.750
```

Calculated values
Symmetry   No. 216
Spin magnetization   0.02 μB per cell

=====

Which of them is most stable? Easy: version x.